1.
DFT (PBE-GGA) results for crystalline In9GaHg2 at its relaxed geometry.

Properties
total magnetic moment	0.00	μB/cell
volume	27.0	Å³/atom
energy of formation	0.0439	eV/atom
crystal system	triclinic

Cell: 5.6159 7.0380 8.4953 Å, 77.07 88.29 82.04°
Atoms (fractional coordinates):
In (0.0000, 0.0000, 0.0000)
In (0.0382, 0.4406, 0.3254)
In (0.0933, 0.8888, 0.3673)
In (0.4261, 0.2199, 0.8264)
In (0.4658, 0.8361, 0.6711)
In (0.5342, 0.1639, 0.3289)
In (0.5739, 0.7801, 0.1736)
In (0.9067, 0.1112, 0.6327)
In (0.9618, 0.5594, 0.6746)
Ga (0.5000, 0.5000, 0.5000)
Hg (0.2372, 0.5971, 0.9736)
Hg (0.7628, 0.4029, 0.0264)

2.
DFT (PBE-GGA) results for crystalline TaCr2InB at its relaxed geometry.

Properties
total magnetic moment	2.96	μB/cell
volume	14.7	Å³/atom
energy of formation	0.5917	eV/atom
crystal system	tetragonal

Cell: 4.1161 4.1161 4.3263 Å, 90.00 90.00 90.00°
Atoms (fractional coordinates):
Ta (0.0000, 0.0000, 0.0000)
Cr (0.0000, 0.5000, 0.5000)
Cr (0.5000, 0.0000, 0.5000)
In (0.5000, 0.5000, 0.0000)
B (0.5000, 0.5000, 0.5000)

3.
DFT (PBE-GGA) results for crystalline PrScRh at its relaxed geometry.

Properties
total magnetic moment	0.00	μB/cell
volume	23.6	Å³/atom
excess energy over the best structure of this formula in the dataset	55.6	meV per atom
energy of formation	-0.4835	eV/atom
crystal system	tetragonal

Cell: 6.6368 6.6368 6.6368 Å, 150.47 150.47 42.26°
Atoms (fractional coordinates):
Pr (0.0000, 0.0000, 0.0000)
Sc (0.2703, 0.2703, 0.0000)
Rh (0.6655, 0.6655, 0.0000)

4.
DFT (PBE-GGA) results for crystalline LaHf3Ti at its relaxed geometry.

Properties
total magnetic moment	1.75	μB/cell
volume	26.7	Å³/atom
excess energy over the best structure of this formula in the dataset	970.9	meV per atom
energy of formation	1.6127	eV/atom
crystal system	cubic

Cell: 5.1093 5.1093 5.1093 Å, 90.00 90.00 90.00°
Atoms (fractional coordinates):
La (0.0000, 0.0000, 0.0000)
Hf (0.0000, 0.0000, 0.5000)
Hf (0.0000, 0.5000, 0.0000)
Hf (0.5000, 0.0000, 0.0000)
Ti (0.5000, 0.5000, 0.5000)

5.
DFT (PBE-GGA) results for crystalline Li2ZrMo at its relaxed geometry.

Properties
total magnetic moment	0.00	μB/cell
volume	18.2	Å³/atom
excess energy over the best structure of this formula in the dataset	134.8	meV per atom
energy of formation	0.3586	eV/atom
crystal system	orthorhombic

Cell: 2.8062 3.6487 7.1139 Å, 90.00 90.00 90.00°
Atoms (fractional coordinates):
Li (0.0000, 0.0000, 0.0000)
Li (0.5000, 0.5000, 0.2123)
Zr (0.5000, 0.5000, 0.6788)
Mo (0.0000, 0.0000, 0.4417)

6.
DFT (PBE-GGA) results for crystalline LaP2Os at its relaxed geometry.

Properties
total magnetic moment	0.00	μB/cell
volume	19.6	Å³/atom
excess energy over the best structure of this formula in the dataset	450.8	meV per atom
energy of formation	-0.4256	eV/atom
crystal system	monoclinic

Cell: 4.6468 4.6468 5.2458 Å, 103.23 103.23 45.71°
Atoms (fractional coordinates):
La (0.0000, 0.0000, 0.0000)
P (0.5076, 0.5076, 0.4989)
P (0.7705, 0.7705, 0.3366)
Os (0.2242, 0.2242, 0.5856)

7.
DFT (PBE-GGA) results for crystalline SrCdPb at its relaxed geometry.

Properties
total magnetic moment	0.00	μB/cell
volume	31.7	Å³/atom
energy of formation	-0.3984	eV/atom
crystal system	monoclinic

Cell: 6.5991 6.5991 5.1712 Å, 113.01 113.01 77.89°
Atoms (fractional coordinates):
Sr (0.0000, 0.0000, 0.0000)
Sr (0.5759, 0.5759, 0.0754)
Cd (0.1883, 0.5481, 0.3678)
Cd (0.5481, 0.1883, 0.3678)
Pb (0.4062, 0.9799, 0.6930)
Pb (0.9799, 0.4062, 0.6930)

8.
DFT (PBE-GGA) results for crystalline AcLu2Au at its relaxed geometry.

Properties
total magnetic moment	0.00	μB/cell
volume	31.5	Å³/atom
excess energy over the best structure of this formula in the dataset	94.6	meV per atom
energy of formation	-0.2939	eV/atom
crystal system	trigonal

Cell: 10.1226 10.1226 10.1226 Å, 21.86 21.86 21.86°
Atoms (fractional coordinates):
Ac (0.0000, 0.0000, 0.0000)
Lu (0.2290, 0.2290, 0.2290)
Lu (0.7710, 0.7710, 0.7710)
Au (0.5000, 0.5000, 0.5000)

9.
DFT (PBE-GGA) results for crystalline Na2NbCu at its relaxed geometry.

Properties
total magnetic moment	0.00	μB/cell
volume	19.7	Å³/atom
excess energy over the best structure of this formula in the dataset	144.9	meV per atom
energy of formation	1.2583	eV/atom
crystal system	cubic

Cell: 4.8143 4.8143 4.8143 Å, 60.00 60.00 60.00°
Atoms (fractional coordinates):
Na (0.2500, 0.2500, 0.2500)
Na (0.7500, 0.7500, 0.7500)
Nb (0.0000, 0.0000, 0.0000)
Cu (0.5000, 0.5000, 0.5000)

10.
DFT (PBE-GGA) results for crystalline Zr2N2O at its relaxed geometry.

Properties
total magnetic moment	0.00	μB/cell
volume	13.2	Å³/atom
crystal system	monoclinic
energy relative to the elements, uncorrected	-1960	meV per atom

Cell: 9.6246 9.6246 5.8838 Å, 105.83 105.83 119.94°
Atoms (fractional coordinates):
Zr (0.0229, 0.1863, 0.0611)
Zr (0.1411, 0.6406, 0.4254)
Zr (0.1863, 0.0229, 0.5611)
Zr (0.3074, 0.4706, 0.9128)
Zr (0.3594, 0.8589, 0.0746)
Zr (0.4706, 0.3074, 0.4128)
Zr (0.5294, 0.6926, 0.5872)
Zr (0.6406, 0.1411, 0.9254)
Zr (0.6926, 0.5294, 0.0872)
Zr (0.8137, 0.9771, 0.4389)
Zr (0.8589, 0.3594, 0.5746)
Zr (0.9771, 0.8137, 0.9389)
N (0.1137, 0.1816, 0.7433)
N (0.1492, 0.5492, 0.7472)
N (0.1816, 0.1137, 0.2433)
N (0.1836, 0.8164, 0.2500)
N (0.4508, 0.8508, 0.7528)
N (0.4863, 0.5137, 0.7500)
N (0.5137, 0.4863, 0.2500)
N (0.5492, 0.1492, 0.2472)
N (0.8164, 0.1836, 0.7500)
N (0.8184, 0.8863, 0.7567)
N (0.8508, 0.4508, 0.2528)
N (0.8863, 0.8184, 0.2567)
O (0.1484, 0.8516, 0.7500)
O (0.2157, 0.4844, 0.2460)
O (0.4844, 0.2157, 0.7460)
O (0.5156, 0.7843, 0.2540)
O (0.7843, 0.5156, 0.7540)
O (0.8516, 0.1484, 0.2500)

11.
DFT (PBE-GGA) results for crystalline BeTlCl3 at its relaxed geometry.

Properties
total magnetic moment	0.00	μB/cell
volume	27.6	Å³/atom
excess energy over the best structure of this formula in the dataset	0.0	meV per atom
crystal system	triclinic
energy relative to the elements, uncorrected	-1294	meV per atom

Cell: 5.5398 7.1716 7.1780 Å, 76.16 86.23 86.22°
Atoms (fractional coordinates):
Be (0.0000, 0.0000, 0.0000)
Be (0.0000, 0.3104, 0.6896)
Tl (0.2214, 0.8319, 0.5214)
Tl (0.7800, 0.4795, 0.1677)
Cl (0.1964, 0.2472, 0.9369)
Cl (0.2130, 0.3227, 0.4533)
Cl (0.2134, 0.7638, 0.0107)
Cl (0.7872, 0.5470, 0.6786)
Cl (0.7873, 0.9875, 0.2364)
Cl (0.8039, 0.0632, 0.7527)

12.
DFT (PBE-GGA) results for crystalline ZrAsPS2 at its relaxed geometry.

Properties
total magnetic moment	0.02	μB/cell
volume	20.1	Å³/atom
excess energy over the best structure of this formula in the dataset	87.9	meV per atom
crystal system	tetragonal
energy relative to the elements, uncorrected	275	meV per atom

Cell: 4.6376 4.6376 4.6691 Å, 90.00 90.00 90.00°
Atoms (fractional coordinates):
Zr (0.0000, 0.0000, 0.0000)
As (0.5000, 0.5000, 0.5000)
P (0.5000, 0.5000, 0.0000)
S (0.0000, 0.5000, 0.5000)
S (0.5000, 0.0000, 0.5000)